The following is a DFT calculation (PBE) of crystalline TaCdInH at its relaxed geometry.

Results
For the volume, the calculation gives 74.6 Å³/cell. For the density of states at the Fermi level, the calculation gives 1.2 states/eV per cell. Its distance to the lowest polymorph of the same formula is 0.072 eV per atom. As for the space group: Pm.

abc: 5.107 2.876 5.221
angles: 90.00 103.23 90.00
Sites, in units of the cell vectors:
Ta: 0.000 0.000 0.000
Cd: 0.110 0.500 0.514
In: 0.513 0.500 0.090
H: 0.801 0.500 0.779